Material: KGa3Sn
Method: DFT, PBE-GGA
State: optimized geometry

## Properties
The energy relative to the lowest polymorph listed for this composition comes out at 1071.8 meV per atom. For the energy relative to the elements, the calculation gives 0.9836 eV/atom. Its symmetry is No. 221. The crystal system is cubic.

Lattice parameters (Å, degrees): 5.606 5.606 5.606 90.00 90.00 90.00
Sites, in units of the cell vectors:
K: 0.000 0.000 0.000
Ga: 0.000 0.500 0.000
Ga: 0.000 0.000 0.500
Ga: 0.500 0.000 0.000
Sn: 0.500 0.500 0.500

---

Material: KV2Cl6
Method: DFT, PBE-GGA
State: optimized geometry

## Properties
The calculation puts the energy relative to the elements, uncorrected at -1.41 eV/atom. Its symmetry is No. 162. The crystal system is trigonal.

Lattice parameters (Å, degrees): 7.034 6.343 6.343 120.00 90.00 90.00
Sites, in units of the cell vectors:
Cl: 0.696 0.631 0.631
Cl: 0.304 0.000 0.631
Cl: 0.696 0.369 0.000
Cl: 0.304 0.631 0.000
Cl: 0.696 0.000 0.369
Cl: 0.304 0.369 0.369
K: 0.000 0.000 0.000
V: 0.500 0.333 0.667
V: 0.500 0.667 0.333

---

Material: CaCrNi
Method: DFT, PBE-GGA
State: optimized geometry

## Properties
The energy relative to the lowest polymorph listed for this composition comes out at 81.8 meV per atom. For the energy relative to the elements, the calculation gives 0.2989 eV/atom. Its symmetry is No. 1. The crystal system is triclinic.

Lattice parameters (Å, degrees): 3.947 5.127 5.755 89.71 112.25 93.23
Sites, in units of the cell vectors:
Cr: 0.602 0.675 0.145
Cr: 0.140 0.452 0.060
Ni: 0.555 0.201 0.952
Ni: 0.095 0.947 0.073
Ca: 0.388 0.698 0.619
Ca: 0.822 0.189 0.489

---

Material: Pm2InRh
Method: DFT, PBE-GGA
State: optimized geometry

## Properties
For the energy relative to the elements, the calculation gives 0.0624 eV/atom. Its symmetry is No. 166. The crystal system is trigonal.

Lattice parameters (Å, degrees): 3.433 3.433 10.680 80.75 80.75 60.00
Sites, in units of the cell vectors:
In: 0.500 0.500 0.500
Pm: 0.082 0.082 0.755
Pm: 0.918 0.918 0.245
Rh: 0.000 0.000 0.000

---

Material: Sr2NpPaN5
Method: DFT, PBE-GGA
State: optimized geometry

## Properties
The calculation puts the energy relative to the elements, uncorrected at -1.07 eV/atom. Its symmetry is No. 123. The crystal system is tetragonal.

Lattice parameters (Å, degrees): 4.079 4.079 8.933 90.00 90.00 90.00
Sites, in units of the cell vectors:
N: 0.000 0.000 0.230
N: 0.500 0.500 0.000
N: 0.000 0.000 0.770
N: 0.000 0.500 0.500
N: 0.500 0.000 0.500
Sr: 0.500 0.500 0.279
Sr: 0.500 0.500 0.721
Pa: 0.000 0.000 0.000
Np: 0.000 0.000 0.500

---

Material: LaTiCu2Cl
Method: DFT, PBE-GGA
State: optimized geometry

## Properties
The energy relative to the lowest polymorph listed for this composition comes out at 0.0 meV per atom. The calculation puts the energy relative to the elements, uncorrected at 0.81 eV/atom. Its symmetry is No. 123. The crystal system is tetragonal.

Lattice parameters (Å, degrees): 5.234 5.236 5.234 90.00 90.00 90.00
Sites, in units of the cell vectors:
Cu: 0.000 0.000 0.500
Cu: 0.500 0.000 0.000
Ti: 0.500 0.500 0.500
La: 0.000 0.000 0.000
Cl: 0.000 0.500 0.000

---

What size of the total moment values result from the calculations? In sequence: 0.00 5.00 0.00 0.00 1.00 0.00 μB/cell.
What density of states at the Fermi level values result from the calculations? In sequence: 3.0 10.8 7.2 4.5 2.3 14.1 states/eV per cell.